The following is a DFT calculation (PBE-GGA) of LiCaSmTl after structural relaxation. Values from VASP.

For the density of states at the Fermi level, the calculation gives 3.208 states/eV per cell. The formation enthalpy at 0 K comes out at -0.241 eV per atom.

```
&SYSTEM
  ibrav = 0, nat = 4, ntyp = 4
/
ATOMIC_SPECIES
Tl 204.38 Tl.upf
Ca 40.08 Ca.upf
Sm 150.36 Sm.upf
Li 6.94 Li.upf
CELL_PARAMETERS angstrom
5.4098 0.0000 0.0000
2.7049 4.6850 0.0000
2.7049 1.5617 4.4171
ATOMIC_POSITIONS crystal
Tl 0.5000 0.5000 0.5000
Ca 0.2500 0.2500 0.2500
Sm 0.7500 0.7500 0.7500
Li 0.0000 0.0000 0.0000
```